# CuH6Se2O8

A relaxed structure of CuH6Se2O8 (PBE, Alexandria).

Results
**Energy**: -5.044 eV/atom
**ρ**: 3.154 g/cm3
**Volume**: 374 Å³/cell
**Symmetry**: P2_1/c, No. 14

a = 6.3718 Å, b = 6.3907 Å, c = 9.1945 Å
α = 88.85°, β = 90.00°, γ = 90.00°
With the nearest neighbours (Å) after each atom.
Fractional coordinates of all 34 atoms:
Cu  0.5000  0.0000  0.5000  4 O 1.95-2.02
Cu  0.0000  0.0000  0.0000  4 O 1.95-2.02
H  0.7322  0.4266  0.6669  1 O 1.03
H  0.2322  0.5734  0.8331  1 O 1.03
H  0.2678  0.5734  0.3331  1 O 1.03
H  0.7678  0.4266  0.1669  1 O 1.03
H  0.2007  0.6282  0.5677  1 O 0.99
H  0.7007  0.3718  0.9323  1 O 0.99
H  0.7993  0.3718  0.4323  1 O 0.99
H  0.2993  0.6282  0.0677  1 O 0.99
H  0.0554  0.7601  0.4610  1 O 0.98
H  0.5554  0.2399  0.0390  1 O 0.98
H  0.9446  0.2399  0.5390  1 O 0.98
H  0.4446  0.7601  0.9610  1 O 0.98
Se  0.7728  0.7702  0.7440  3 O 1.72-1.82
Se  0.2728  0.2298  0.7560  3 O 1.72-1.82
Se  0.2272  0.2298  0.2560  3 O 1.72-1.82
Se  0.7272  0.7702  0.2440  3 O 1.72-1.82
O  0.1980  0.7038  0.4725  2 H 0.98-0.99
O  0.6980  0.2962  0.0275  2 H 0.98-0.99
O  0.8020  0.2962  0.5275  2 H 0.98-0.99
O  0.3020  0.7038  0.9725  2 H 0.98-0.99
O  0.5460  0.9020  0.6995  1 Se 1.72
O  0.0460  0.0980  0.8005  1 Se 1.72
O  0.4540  0.0980  0.3005  1 Se 1.72
O  0.9540  0.9020  0.1995  1 Se 1.72
O  0.7742  0.8065  0.9287  1 Se 1.72
O  0.2742  0.1935  0.5713  1 Se 1.72
O  0.2258  0.1935  0.0713  1 Se 1.72
O  0.7258  0.8065  0.4287  1 Se 1.72
O  0.6740  0.5036  0.7551  1 H 1.03
O  0.1740  0.4964  0.7449  1 H 1.03
O  0.3260  0.4964  0.2449  1 H 1.03
O  0.8260  0.5036  0.2551  1 H 1.03